10
Lattice="-4.556 0.269 1.232 0.717 -3.247 3.360 2.652 8.752 7.892" Properties=species:S:1:pos:R:3 comment="NaAc2Ag3Sn4 PBE relaxed" spacegroup="P-4m2, No. 115" delta_e_f_ev_per_atom=-0.380 vol_a3_per_atom=27.0 pbc="T T T"
Sn -0.576 5.752 5.681
Sn -1.920 -1.489 2.296
Sn 1.308 1.512 4.507
Sn 0.000 0.000 0.000
Ag 1.326 4.376 3.946
Ag 0.713 -0.454 2.735
Ag 0.019 7.717 7.453
Ac -1.621 2.304 2.572
Ac 2.353 4.960 7.616
Na -0.594 2.887 6.242

5
Lattice="4.562 0.000 0.000 0.000 4.990 0.000 0.000 0.000 4.562" Properties=species:S:1:pos:R:3 comment="Re2NiHgAs PBE relaxed" spacegroup="P4/mmm, No. 123" delta_e_f_ev_per_atom=1.868 vol_a3_per_atom=20.8 pbc="T T T"
As 0.000 0.000 0.000
Re 0.000 0.000 2.281
Re 2.281 0.000 0.000
Ni 2.281 2.495 2.281
Hg 0.000 2.495 0.000

4
Lattice="-3.221 -1.323 1.771 0.469 -3.468 -1.737 5.602 -3.160 7.825" Properties=species:S:1:pos:R:3 comment="Ac2ErI PBE relaxed" polymorph_energy_ev_per_fu=0.000 spacegroup="P4/mmm, No. 123" vol_a3_per_atom=38.6 formation_energy_uncorrected_ev_per_atom=-0.37 pbc="T T T"
Ac 4.194 -2.366 5.858
Ac 1.408 -0.795 1.967
I 1.425 -3.976 3.930
Er -1.376 -2.395 0.017

4
Lattice="5.135 -0.027 0.000 1.910 4.766 0.000 -3.523 -2.370 2.888" Properties=species:S:1:pos:R:3 comment="CrReHg2 PBE relaxed" polymorph_energy_ev_per_fu=1.669 spacegroup="I4/mmm, No. 139" delta_e_f_ev_per_atom=0.846 vol_a3_per_atom=17.7 pbc="T T T"
Hg 3.523 2.370 0.000
Hg 0.000 0.000 0.000
Re 0.955 2.383 1.444
Cr 2.567 -0.013 1.444